CaPrY: relaxed, PBE-GGA.

Results
N(E_F) in states/eV per atom: 1.44
Energy of formation in eV per atom: 0.04
Uncorrected energy in eV per cell: -13.12
Energy relative to the lowest polymorph listed for this composition in meV/atom: 13

Unit cell a=8.3260 b=8.3260 c=8.3260 alpha=154.23 beta=154.23 gamma=36.76
Atoms (fractional coordinates):
Ca: 0.0000 0.0000 0.0000
Pr: 0.6772 0.6772 0.0000
Y: 0.3276 0.3276 0.0000